! HoFe5 PBE optimized geometry; values from VASP
&SYSTEM
  ibrav = 0, nat = 6, ntyp = 2
/
ATOMIC_SPECIES
Ho 164.93 Ho.upf
Fe 55.84 Fe.upf
CELL_PARAMETERS angstrom
4.9776 0.0000 0.0000
-2.4888 4.3107 0.0000
0.0000 0.0000 3.9399
ATOMIC_POSITIONS angstrom
Ho 0.0000 0.0000 0.0000
Fe 0.0000 2.8738 0.0000
Fe 2.4888 1.4369 0.0000
Fe 2.4888 0.0000 1.9699
Fe 1.2444 2.1553 1.9699
Fe -1.2444 2.1553 1.9699
! DOS at the Fermi energy ... 5.988 states/eV per cell
! Calculated volume ... 84.5 Å³ per cell
! Energy of formation from the pure elements ... -0.054 eV per atom
! E_tot ... -47.22 eV/f.u.
! Space-group type ... P6/mmm